1.
The following is a PBE calculation of a relaxed Sr2In2Ge crystal, from Alexandria via LeMat-Bulk.

abc: 7.7529 7.7529 5.2172
angles: 90.00 90.00 90.00
Element x y z (fractional)
Sr 0.1745 0.6745 0.5000
Sr 0.6745 0.8255 0.5000
Sr 0.8255 0.3255 0.5000
Sr 0.3255 0.1745 0.5000
Ge 0.0000 0.0000 0.0000
Ge 0.5000 0.5000 0.0000
In 0.3655 0.8655 0.0000
In 0.8655 0.6345 0.0000
In 0.6345 0.1345 0.0000
In 0.1345 0.3655 0.0000

Energy of formation: -0.314 eV/atom
SG: P4/mbm
Density of states at the Fermi level: 2.9 states/eV/f.u.
DFT total energy: -3.0061 eV/atom

2.
The following is a PBE calculation of a relaxed SrIn2Ge2 crystal, from Alexandria via LeMat-Bulk.

abc: 5.0362 5.0362 6.3945
angles: 66.81 66.81 90.00
Element x y z (fractional)
Sr 0.0000 0.0000 0.0000
Ge 0.7500 0.2500 0.5000
Ge 0.2500 0.7500 0.5000
In 0.3673 0.3673 0.2653
In 0.6327 0.6327 0.7347

Energy of formation: -0.217 eV/atom
SG: I4/mmm
Density of states at the Fermi level: 1.8 states/eV/f.u.
DFT total energy: -3.4952 eV/atom

3.
The following is a PBE calculation of a relaxed Sr2InGe crystal, from Alexandria via LeMat-Bulk.

abc: 4.0862 4.0862 11.2245
angles: 79.51 79.51 60.00
Element x y z (fractional)
Sr 0.1045 0.1045 0.6865
Sr 0.8955 0.8955 0.3135
Ge 0.5000 0.5000 0.5000
In 0.0000 0.0000 0.0000

Energy of formation: -0.037 eV/atom
SG: R-3m
Density of states at the Fermi level: 3.0 states/eV/f.u.
DFT total energy: -2.7164 eV/atom

4.
The following is a PBE calculation of a relaxed Sr2InGe crystal, from Alexandria via LeMat-Bulk.

abc: 4.4973 6.5349 9.6978
angles: 112.02 90.00 90.00
Element x y z (fractional)
Sr 0.7500 0.2173 0.4392
Sr 0.2500 0.7827 0.5608
Sr 0.2500 0.7742 0.0796
Sr 0.7500 0.2258 0.9204
In 0.2500 0.3500 0.2145
In 0.7500 0.6500 0.7855
Ge 0.7500 0.6377 0.2856
Ge 0.2500 0.3623 0.7144

Energy of formation: -0.519 eV/atom
SG: P2_1/m
Density of states at the Fermi level: 3.1 states/eV/f.u.
DFT total energy: -3.1987 eV/atom

Repeat the fourth record exactly.
The following is a PBE calculation of a relaxed Sr2InGe crystal, from Alexandria via LeMat-Bulk.

abc: 4.4973 6.5349 9.6978
angles: 112.02 90.00 90.00
Element x y z (fractional)
Sr 0.7500 0.2173 0.4392
Sr 0.2500 0.7827 0.5608
Sr 0.2500 0.7742 0.0796
Sr 0.7500 0.2258 0.9204
In 0.2500 0.3500 0.2145
In 0.7500 0.6500 0.7855
Ge 0.7500 0.6377 0.2856
Ge 0.2500 0.3623 0.7144

Energy of formation: -0.519 eV/atom
SG: P2_1/m
Density of states at the Fermi level: 3.1 states/eV/f.u.
DFT total energy: -3.1987 eV/atom